Compound: K2Sc2VO6
Source: Alexandria
Functional: GGA+U
Structure: optimized geometry

Lattice parameters (Å, degrees): 5.457 9.309 6.534 90.00 106.13 90.00
Space group C2/m (No. 12)
Asymmetric unit:
K  0.000  0.168  0.000 x4
Sc  0.000  0.335  0.500 x4
V  0.000  0.000  0.500 x2
O  0.212  0.157  0.668 x8
O  0.241  0.500  0.668 x4

Results
raw total energy = -7.325 eV/atom
magnetic moment = 1.000 μB per formula unit